Below is a relaxed Ba2MoO6 crystal, with properties calculated at the GGA+U level.

a = 6.7171 Å, b = 6.7171 Å, c = 6.7171 Å
α = 141.99°, β = 128.17°, γ = 66.05°
Positions (direct):
Ba1 0.1689 0.1689 0.0000
Ba2 0.8311 0.8311 0.0000
Mo1 0.5000 0.5000 0.0000
O1 0.1502 0.3741 0.7761
O2 0.3740 0.0000 0.3740
O3 0.4021 0.6259 0.7761
O4 0.5979 0.3741 0.2239
O5 0.6260 0.0000 0.6260
O6 0.8498 0.6259 0.2239

VASP energy in eV/cell: -56.9